# 1
This record from Alexandria via LeMat-Bulk describes an optimized crystal structure of Ce6NiGe2. The functional is PBE.

## Properties
calculated volume = 24.170 A^3/atom
DFT formation energy = -0.45 eV per atom
N(E_F) = 2.35 states/eV/atom
VASP energy = -6.070 eV/atom
crystal system = hexagonal

a b c (Å): 8.110 8.110 3.819
angles (deg): 90.00 90.00 120.00
Fractional positions:
Ce 0.000 0.424 0.000
Ce 0.000 0.747 0.500
Ce 0.253 0.253 0.500
Ce 0.424 0.000 0.000
Ce 0.576 0.576 0.000
Ce 0.747 0.000 0.500
Ni 0.000 0.000 0.000
Ge 0.333 0.667 0.500
Ge 0.667 0.333 0.500

***

# 2
This record from Alexandria via LeMat-Bulk describes an optimized crystal structure of InHg2I2. The functional is PBE.

## Properties
calculated volume = 41.089 A^3/atom
offset from the most stable computed form = 0.0 kJ/mol of atoms
raw formation energy = -0.246 eV/atom
VASP energy = -1.535 eV/atom
crystal system = monoclinic

a b c (Å): 10.430 10.430 8.998
angles (deg): 99.86 99.86 25.24
Fractional positions:
In 0.218 0.218 0.228
In 0.782 0.782 0.772
Hg 0.028 0.028 0.874
Hg 0.069 0.069 0.599
Hg 0.931 0.931 0.401
Hg 0.972 0.972 0.126
I 0.346 0.346 0.031
I 0.363 0.363 0.552
I 0.637 0.637 0.448
I 0.654 0.654 0.969

***

# 3
This record from Alexandria via LeMat-Bulk describes an optimized crystal structure of BaLiNdTe3. The functional is PBE.

## Properties
calculated volume = 34.384 A^3/atom
raw formation energy = -1.482 eV/atom
VASP energy = -4.487 eV/atom
crystal system = orthorhombic

a b c (Å): 7.907 7.907 11.805
angles (deg): 90.00 90.00 146.01
Fractional positions:
Ba 0.249 0.751 0.750
Ba 0.751 0.249 0.250
Li 0.474 0.526 0.250
Li 0.526 0.474 0.750
Nd 0.000 0.000 0.000
Nd 0.000 0.000 0.500
Te 0.077 0.923 0.250
Te 0.362 0.638 0.063
Te 0.362 0.638 0.437
Te 0.638 0.362 0.563
Te 0.638 0.362 0.937
Te 0.923 0.077 0.750

***

# 4
This record from Alexandria via LeMat-Bulk describes an optimized crystal structure of BaAs. The functional is PBE.

## Properties
calculated volume = 32.967 A^3/atom
DFT formation energy = -0.88 eV per atom
N(E_F) = 0.23 states/eV/atom
VASP energy = -4.166 eV/atom
crystal system = tetragonal

a b c (Å): 6.136 6.136 7.004
angles (deg): 90.00 90.00 90.00
Fractional positions:
Ba 0.000 0.500 0.000
Ba 0.000 0.500 0.500
Ba 0.500 0.000 0.000
Ba 0.500 0.000 0.500
As 0.000 0.000 0.190
As 0.000 0.000 0.810
As 0.500 0.500 0.310
As 0.500 0.500 0.690

***

# 5
This record from Alexandria via LeMat-Bulk describes an optimized crystal structure of K2ZnPt. The functional is PBE.

## Properties
calculated volume = 29.741 A^3/atom
DFT formation energy = 0.24 eV per atom
N(E_F) = 0.55 states/eV/atom
VASP energy = -2.133 eV/atom
crystal system = monoclinic

a b c (Å): 9.356 2.939 8.669
angles (deg): 90.00 93.36 90.00
Fractional positions:
K 0.245 0.000 0.213
K 0.255 0.500 0.787
K 0.745 0.500 0.213
K 0.755 0.000 0.787
Zn 0.000 0.000 0.500
Zn 0.500 0.500 0.500
Pt 0.000 0.500 0.000
Pt 0.500 0.000 0.000

***

# 6
This record from Alexandria via LeMat-Bulk describes an optimized crystal structure of K2RbTlI4. The functional is PBE.

## Properties
calculated volume = 47.185 A^3/atom
N(E_F) = 0.00 states/eV/atom
raw formation energy = -1.280 eV/atom
VASP energy = -2.746 eV/atom
crystal system = monoclinic

a b c (Å): 8.844 5.106 8.862
angles (deg): 90.00 109.40 90.00
Fractional positions:
K 0.000 0.000 0.000
K 0.500 0.500 0.000
Rb 0.000 0.500 0.500
Tl 0.500 0.000 0.500
I 0.254 0.500 0.247
I 0.258 0.000 0.757
I 0.742 0.000 0.243
I 0.746 0.500 0.753

***

# 7
This record from Alexandria via LeMat-Bulk describes an optimized crystal structure of U2BiTe. The functional is PBE.

## Properties
calculated volume = 27.180 A^3/atom
N(E_F) = 2.35 states/eV/atom
offset from the most stable computed form = 0.6 kJ/mol of atoms
raw formation energy = -0.159 eV/atom
VASP energy = -7.558 eV/atom
crystal system = tetragonal

a b c (Å): 5.362 5.362 3.781
angles (deg): 90.00 90.00 90.00
Fractional positions:
U 0.000 0.500 0.000
U 0.500 0.000 0.000
Bi 0.000 0.000 0.500
Te 0.500 0.500 0.500

***

# 8
This record from Alexandria via LeMat-Bulk describes an optimized crystal structure of MgZrBeH2. The functional is PBE.

## Properties
calculated volume = 20.612 A^3/atom
N(E_F) = 0.95 states/eV/atom
VASP energy = -3.321 eV/atom
crystal system = tetragonal

a b c (Å): 3.568 3.568 8.096
angles (deg): 90.00 90.00 90.00
Fractional positions:
Mg 0.000 0.000 0.000
Zr 0.000 0.000 0.500
Be 0.500 0.500 0.500
H 0.000 0.500 0.000
H 0.500 0.000 0.000

***

Number 1: magnetization 0.60 μB/f.u.. Number 2: magnetization 0.00 μB/f.u.. Number 3: magnetization 0.00 μB/f.u.. Number 4: magnetization 0.00 μB/f.u.. Number 5: magnetization 0.00 μB/f.u.. Number 6: magnetization 0.00 μB/f.u.. Number 7: magnetization 6.73 μB/f.u.. Number 8: magnetization 0.00 μB/f.u..